# 1
First-principles (PBE-GGA) data for crystalline NbAs2Ir2 at its relaxed geometry, as listed in Alexandria via LeMat-Bulk.

Summary:
Offset from the most stable computed form = 0 meV per atom
DFT formation energy = -0.01 eV per atom
Total magnetization = 0.00 μB per cell
E_tot = -74.25 eV for the cell shown
Volume = 159.5 Å³/cell

Cell: 7.3675 7.3675 2.9385 Å, 90.00 90.00 90.00°
Last column: nearest neighbours and their distance in Å.
Space group P4/mbm (No. 127)
Unique sites:
1 Nb 0.0000 0.0000 0.0000 [2 per cell]  4 As 2.79, 2 Nb 2.94
2 As 0.1533 0.3467 0.0000 [4 per cell]  6 Ir 2.52-2.68, 2 Nb 2.79
3 Ir 0.1507 0.6507 0.5000 [4 per cell]  6 As 2.52-2.68

# 2
First-principles (PBE-GGA) data for crystalline ErThRh2 at its relaxed geometry, as listed in Alexandria via LeMat-Bulk.

Summary:
Offset from the most stable computed form = 136 meV per atom
DFT formation energy = -0.80 eV per atom
Total magnetization = 0.00 μB per cell
E_tot = -89.66 eV for the cell shown
Volume = 276.6 Å³/cell

Cell: 4.0344 4.0344 19.6247 Å, 90.00 90.00 120.00°
Last column: nearest neighbours and their distance in Å.
Space group R-3m (No. 166, hexagonal axes)
Unique sites:
1 Er 0.0000 0.0000 0.0000 [3 per cell]  6 Rh 2.84
2 Th 0.0000 0.0000 0.5000 [3 per cell]  6 Rh 2.85
3 Rh 0.0000 0.0000 0.2502 [6 per cell]  3 Er 2.84, 3 Th 2.85

# 3
First-principles (PBE-GGA) data for crystalline CrCd2Co at its relaxed geometry, as listed in Alexandria via LeMat-Bulk.

Summary:
Offset from the most stable computed form = 138 meV per atom
DFT formation energy = 0.40 eV per atom
Total magnetization = 9.51 μB per cell
E_tot = -33.94 eV for the cell shown
Volume = 133.2 Å³/cell

Cell: 4.0788 4.0788 8.0040 Å, 90.00 90.00 90.00°
Last column: nearest neighbours and their distance in Å.
Space group I4/mmm (No. 139)
Unique sites:
1 Cr 0.0000 0.0000 0.0000 [2 per cell]  8 Cd 2.86, 4 Co 2.88
2 Cd 0.0000 0.5000 0.2500 [4 per cell]  4 Cr 2.86, 4 Co 2.86, 4 Cd 2.88
3 Co 0.0000 0.0000 0.5000 [2 per cell]  8 Cd 2.86, 4 Cr 2.88

# 4
First-principles (PBE-GGA) data for crystalline PrHoCdAg at its relaxed geometry, as listed in Alexandria via LeMat-Bulk.

Summary:
Offset from the most stable computed form = 0 meV per atom
DFT formation energy = -0.30 eV per atom
Total magnetization = 0.27 μB per cell
E_tot = -14.32 eV for the cell shown
Volume = 105.6 Å³/cell

Cell: 3.7240 3.7240 7.6161 Å, 90.00 90.00 90.00°
Last column: nearest neighbours and their distance in Å.
Space group P4mm (No. 99)
Unique sites:
1 Pr 0.0000 0.0000 0.0000 [1 per cell]  4 Ag 3.34, 4 Cd 3.36, 1 Ho 3.68, 4 Pr 3.72
2 Ho 0.0000 0.0000 0.4838 [1 per cell]  4 Ag 3.09, 4 Cd 3.21
3 Cd 0.5000 0.5000 0.7259 [1 per cell]  4 Ho 3.21, 4 Pr 3.36, 1 Ag 3.47
4 Ag 0.5000 0.5000 0.2708 [1 per cell]  4 Ho 3.09, 4 Pr 3.34

# 5
First-principles (PBE-GGA) data for crystalline PmSm4Zn at its relaxed geometry, as listed in Alexandria via LeMat-Bulk.

Summary:
Offset from the most stable computed form = 197 meV per atom
DFT formation energy = 0.10 eV per atom
Total magnetization = 0.00 μB per cell
E_tot = -97.20 eV for the cell shown
Volume = 762.2 Å³/cell

Cell: 5.4340 15.4932 9.0531 Å, 90.00 90.00 90.00°
Last column: nearest neighbours and their distance in Å.
Space group Cmc2_1 (No. 36)
Unique sites:
1 Pm 0.0000 0.1365 0.0000 [4 per cell]  1 Zn 3.06, 2 Sm 3.26
2 Sm 0.0000 0.0890 0.6166 [4 per cell]  2 Zn 3.08
3 Sm 0.0000 0.2627 0.3339 [4 per cell]  1 Zn 2.97
4 Sm 0.0000 0.3382 0.6952 [4 per cell]  1 Zn 3.02, 3 Sm 3.26-3.38, 2 Pm 3.26
5 Sm 0.0000 0.4805 0.3771 [4 per cell]  1 Zn 3.20, 2 Sm 3.26-3.40, 2 Pm 3.45
6 Zn 0.0000 0.3333 0.0290 [4 per cell]  5 Sm 2.97-3.20, 1 Pm 3.06

# 6
First-principles (PBE-GGA) data for crystalline SrAgCl2 at its relaxed geometry, as listed in Alexandria via LeMat-Bulk.

Summary:
Offset from the most stable computed form = 158 meV per atom
Total magnetization = 0.00 μB per cell
Formation energy (no corrections) = -1.169 eV/atom
E_tot = -25.80 eV for the cell shown
Volume = 198.4 Å³/cell

Cell: 4.2634 4.2634 10.9164 Å, 90.00 90.00 90.00°
Last column: nearest neighbours and their distance in Å.
Space group I-4m2 (No. 119)
Unique sites:
1 Sr 0.0000 0.0000 0.0000 [2 per cell]  4 Cl 3.01
2 Ag 0.0000 0.5000 0.7500 [2 per cell]  4 Cl 3.01
3 Cl 0.0000 0.0000 0.5000 [2 per cell]  4 Sr 3.01
4 Cl 0.0000 0.5000 0.2500 [2 per cell]  4 Ag 3.01

# 7
First-principles (PBE-GGA) data for crystalline In2MoWBr at its relaxed geometry, as listed in Alexandria via LeMat-Bulk.

Summary:
Total magnetization = 4.96 μB per cell
Formation energy (no corrections) = 1.475 eV/atom
E_tot = -23.56 eV for the cell shown
Volume = 133.2 Å³/cell

Cell: 5.3576 5.3576 4.6404 Å, 90.00 90.00 90.00°
Last column: nearest neighbours and their distance in Å.
Space group P4/mmm (No. 123)
Unique sites:
1 In 0.0000 0.5000 0.0000 [2 per cell]  2 W 2.68
2 Mo 0.0000 0.0000 0.5000 [1 per cell]  8 In 3.54, 4 Br 3.79
3 W 0.5000 0.5000 0.0000 [1 per cell]  2 Br 2.32
4 Br 0.5000 0.5000 0.5000 [1 per cell]  2 W 2.32

# 8
First-principles (PBE-GGA) data for crystalline CrNi3Pt6 at its relaxed geometry, as listed in Alexandria via LeMat-Bulk.

Summary:
Offset from the most stable computed form = 0 meV per atom
DFT formation energy = 0.03 eV per atom
Total magnetization = 0.09 μB per cell
E_tot = -125.78 eV for the cell shown
Volume = 298.4 Å³/cell

Cell: 7.7880 9.9763 3.8406 Å, 90.00 90.00 90.00°
Last column: nearest neighbours and their distance in Å.
Space group Pnnm (No. 58)
Unique sites:
1 Cr 0.0000 0.0000 0.0000 [2 per cell]  8 Pt 2.58-2.70, 4 Ni 2.67
2 Ni 0.0000 0.5000 0.0000 [2 per cell]  8 Pt 2.47-2.53
3 Ni 0.1214 0.1595 0.5000 [4 per cell]  7 Pt 2.57-2.71, 2 Cr 2.67
4 Pt 0.0583 0.7434 0.0000 [4 per cell]  4 Ni 2.47-2.63, 1 Cr 2.60, 4 Pt 2.70-2.72
5 Pt 0.1844 0.5777 0.5000 [4 per cell]  4 Ni 2.52-2.58, 1 Cr 2.58, 4 Pt 2.72-2.78
6 Pt 0.2037 0.8959 0.5000 [4 per cell]  3 Ni 2.53-2.71, 2 Cr 2.70, 4 Pt 2.70-2.78